! Fe2IrSe | Alexandria | PBE | optimized geometry; values from VASP
&SYSTEM
  ibrav = 0, nat = 4, ntyp = 3
/
ATOMIC_SPECIES
Fe 55.84 Fe.upf
Ir 192.22 Ir.upf
Se 78.96 Se.upf
CELL_PARAMETERS angstrom
-2.1411 1.3584 -1.6554
2.2437 -0.9357 -3.6699
-2.0932 -3.7071 -0.3346
ATOMIC_POSITIONS angstrom
Fe 0.0000 0.0000 0.0000
Fe 0.0513 0.2114 -2.6626
Ir -2.1172 -1.1743 -0.9950
Se 0.0752 -2.3214 -2.0023
! formation energy (no corrections) = 0.29 eV/atom
! space group = No. 47
! energy = -0.5165 Ry per atom